1.
The following is a meta-GGA SCAN calculation of a crystal of Tl2SbAs relaxed with PBEsol, from Alexandria.

Properties
The mass density comes out at 9.3 g/cm3. As for the offset from the most stable computed form: 0.15 kcal/mol of atoms. The formation energy from raw total energies comes out at 55 meV/atom. Its crystal system is monoclinic. The symmetry is Cm, No. 8.

Cell: 6.204 6.204 5.429 Å, 115.74 115.74 35.64°
Fractional positions:
Tl (0.000, 0.000, 0.000)
Tl (0.219, 0.219, 0.728)
Sb (0.436, 0.436, 0.436)
As (0.755, 0.755, 0.269)


2.
The following is a meta-GGA SCAN calculation of a crystal of TlSb2As relaxed with PBEsol, from Alexandria.

Properties
The mass density comes out at 8.9 g/cm3. As for the offset from the most stable computed form: 3.82 kcal/mol of atoms. The formation energy from raw total energies comes out at 328 meV/atom. Its crystal system is cubic. The symmetry is F-43m, No. 216.

Cell: 5.173 5.173 5.173 Å, 60.00 60.00 60.00°
Fractional positions:
Tl (0.000, 0.000, 0.000)
Sb (0.500, 0.500, 0.500)
Sb (0.750, 0.750, 0.750)
As (0.250, 0.250, 0.250)


3.
The following is a meta-GGA SCAN calculation of a crystal of TlSb2As relaxed with PBEsol, from Alexandria.

Properties
The mass density comes out at 8.6 g/cm3. As for the offset from the most stable computed form: 2.66 kcal/mol of atoms. The formation energy from raw total energies comes out at 278 meV/atom. Its crystal system is orthorhombic. The symmetry is Cmm2, No. 35.

Cell: 3.348 3.348 9.264 Å, 90.00 90.00 102.19°
Fractional positions:
Tl (0.000, 0.000, 0.000)
Sb (0.000, 0.000, 0.545)
Sb (0.500, 0.500, 0.278)
As (0.500, 0.500, 0.747)


4.
The following is a meta-GGA SCAN calculation of a crystal of TlSb2As relaxed with PBEsol, from Alexandria.

Properties
The mass density comes out at 8.6 g/cm3. As for the offset from the most stable computed form: 0.54 kcal/mol of atoms. The formation energy from raw total energies comes out at 186 meV/atom. Its crystal system is orthorhombic. The symmetry is Immm, No. 71.

Cell: 6.104 6.104 6.104 Å, 145.11 128.12 64.05°
Fractional positions:
Tl (0.000, 0.000, 0.000)
Sb (0.287, 0.787, 0.500)
Sb (0.713, 0.213, 0.500)
As (0.500, 0.500, 0.000)


5.
The following is a meta-GGA SCAN calculation of a crystal of TlSb2As relaxed with PBEsol, from Alexandria.

Properties
The mass density comes out at 8.4 g/cm3. As for the offset from the most stable computed form: 1.87 kcal/mol of atoms. The formation energy from raw total energies comes out at 244 meV/atom. Its crystal system is tetragonal. The symmetry is P4mm, No. 99.

Cell: 3.434 3.434 8.731 Å, 90.00 90.00 90.00°
Fractional positions:
Tl (0.000, 0.000, 0.000)
Sb (0.000, 0.000, 0.438)
Sb (0.500, 0.500, 0.721)
As (0.500, 0.500, 0.270)


6.
The following is a meta-GGA SCAN calculation of a crystal of Tl2SbAs relaxed with PBEsol, from Alexandria.

Properties
The mass density comes out at 9.7 g/cm3. As for the offset from the most stable computed form: 3.19 kcal/mol of atoms. The formation energy from raw total energies comes out at 187 meV/atom. Its crystal system is tetragonal. The symmetry is I4/mmm, No. 139.

Cell: 6.165 6.165 6.165 Å, 138.10 138.10 60.74°
Fractional positions:
Tl (0.250, 0.750, 0.500)
Tl (0.750, 0.250, 0.500)
Sb (0.000, 0.000, 0.000)
As (0.500, 0.500, 0.000)


7.
The following is a meta-GGA SCAN calculation of a crystal of Tl2SbAs relaxed with PBEsol, from Alexandria.

Properties
The mass density comes out at 9.1 g/cm3. As for the offset from the most stable computed form: 0.54 kcal/mol of atoms. The formation energy from raw total energies comes out at 72 meV/atom. Its crystal system is orthorhombic. The symmetry is Immm, No. 71.

Cell: 7.197 7.197 7.197 Å, 148.13 145.57 47.62°
Fractional positions:
Tl (0.189, 0.189, 0.000)
Tl (0.811, 0.811, 0.000)
Sb (0.500, 0.000, 0.500)
As (0.000, 0.500, 0.500)


8.
The following is a meta-GGA SCAN calculation of a crystal of TlSbAs relaxed with PBEsol, from Alexandria.

Properties
The mass density comes out at 8.6 g/cm3. As for the offset from the most stable computed form: 0.73 kcal/mol of atoms. The formation energy from raw total energies comes out at 87 meV/atom. Its crystal system is tetragonal. The symmetry is I4mm, No. 107.

Cell: 6.409 6.409 6.409 Å, 147.07 147.07 47.26°
Fractional positions:
Tl (0.000, 0.000, 0.000)
Sb (0.291, 0.291, 0.000)
As (0.687, 0.687, 0.000)


9.
The following is a meta-GGA SCAN calculation of a crystal of TlSbAs relaxed with PBEsol, from Alexandria.

Properties
The mass density comes out at 7.7 g/cm3. As for the offset from the most stable computed form: 6.98 kcal/mol of atoms. The formation energy from raw total energies comes out at 358 meV/atom. Its crystal system is cubic. The symmetry is F-43m, No. 216.

Cell: 4.970 4.970 4.970 Å, 60.00 60.00 60.00°
Fractional positions:
Tl (0.000, 0.000, 0.000)
Sb (0.250, 0.250, 0.250)
As (0.500, 0.500, 0.500)


10.
The following is a meta-GGA SCAN calculation of a crystal of TlSbAs relaxed with PBEsol, from Alexandria.

Properties
The mass density comes out at 8.1 g/cm3. As for the offset from the most stable computed form: 0.00 kcal/mol of atoms. The formation energy from raw total energies comes out at 55 meV/atom. Its crystal system is trigonal. The symmetry is P3m1, No. 156.

Cell: 3.802 3.802 6.554 Å, 90.00 90.00 120.00°
Fractional positions:
Tl (0.000, 0.000, 0.000)
Sb (0.667, 0.333, 0.405)
As (0.333, 0.667, 0.648)


11.
The following is a meta-GGA SCAN calculation of a crystal of TlSb2As relaxed with PBEsol, from Alexandria.

Properties
The mass density comes out at 8.9 g/cm3. As for the offset from the most stable computed form: 4.33 kcal/mol of atoms. The formation energy from raw total energies comes out at 350 meV/atom. Its crystal system is cubic. The symmetry is Fm-3m, No. 225.

Cell: 5.165 5.165 5.165 Å, 60.00 60.00 60.00°
Fractional positions:
Tl (0.000, 0.000, 0.000)
Sb (0.250, 0.250, 0.250)
Sb (0.750, 0.750, 0.750)
As (0.500, 0.500, 0.500)


12.
The following is a meta-GGA SCAN calculation of a crystal of Tl2SbAs relaxed with PBEsol, from Alexandria.

Properties
The mass density comes out at 9.5 g/cm3. As for the offset from the most stable computed form: 0.52 kcal/mol of atoms. The formation energy from raw total energies comes out at 71 meV/atom. Its crystal system is tetragonal. The symmetry is P4mm, No. 99.

Cell: 3.773 3.773 7.443 Å, 90.00 90.00 90.00°
Fractional positions:
Tl (0.000, 0.000, 0.000)
Tl (0.500, 0.500, 0.289)
Sb (0.500, 0.500, 0.716)
As (0.000, 0.000, 0.564)


Copy entry 2 word for word.
The following is a meta-GGA SCAN calculation of a crystal of TlSb2As relaxed with PBEsol, from Alexandria.

Properties
The mass density comes out at 8.9 g/cm3. As for the offset from the most stable computed form: 3.82 kcal/mol of atoms. The formation energy from raw total energies comes out at 328 meV/atom. Its crystal system is cubic. The symmetry is F-43m, No. 216.

Cell: 5.173 5.173 5.173 Å, 60.00 60.00 60.00°
Fractional positions:
Tl (0.000, 0.000, 0.000)
Sb (0.500, 0.500, 0.500)
Sb (0.750, 0.750, 0.750)
As (0.250, 0.250, 0.250)


Question: Number 12 is which compound?
Answer: Tl2SbAs


Question: Which value of formation energy from raw total energies does entry 1 give?
Answer: 55 meV/atom